The following is a DFT calculation (PBE) of an optimized crystal structure of Lu4CoBiC2.

Lattice parameters (Å, degrees): 3.5331 3.5331 14.3015 90.00 90.00 120.00
Closest atoms and distances in Å follow each position.
Fractional positions:
Bi 0.6667 0.3333 0.5000  6 Lu 3.34, 6 Bi 3.53
C 0.3333 0.6667 0.2318  6 Lu 2.36-2.48
C 0.3333 0.6667 0.7682  6 Lu 2.36-2.48
Co 0.0000 0.0000 0.0000  6 Lu 2.79
Lu 0.6667 0.3333 0.1332  3 C 2.48
Lu 0.0000 0.0000 0.3154  3 C 2.36
Lu 0.0000 0.0000 0.6846  3 C 2.36
Lu 0.6667 0.3333 0.8668  3 C 2.48

Computed properties:
**Space-group type**: No. 187
**Volume**: 154.6 Å³/f.u.
**Magnetic moment**: 0.6 Bohr magnetons per cell
**E**: -50.55 eV/cell

---

The following is a DFT calculation (PBE) of an optimized crystal structure of ScNbNi2Sn2.

Lattice parameters (Å, degrees): 8.5798 4.2801 12.8352 90.00 109.47 90.00
Closest atoms and distances in Å follow each position.
Fractional positions:
Nb 0.1866 0.0000 0.3734  4 Ni 2.55-2.61
Nb 0.6868 0.0000 0.3742  4 Ni 2.53-2.61
Nb 0.5611 0.5000 0.6240  4 Ni 2.57-2.59
Nb 0.4344 0.0000 0.8736  4 Ni 2.52-2.64
Ni 0.9993 0.5000 0.0011  4 Sc 2.59-2.61, 4 Sn 2.63-2.64
Ni 0.3812 0.0000 0.2596  2 Nb 2.54-2.56, 4 Sn 2.55-2.69, 2 Sc 2.70
Ni 0.8790 0.0000 0.2611  2 Nb 2.53-2.55, 4 Sn 2.57-2.70, 2 Sc 2.71
Ni 0.2556 0.5000 0.4961  4 Sn 2.55-2.63, 3 Nb 2.59-2.61, 1 Sc 2.73
Ni 0.7403 0.5000 0.4974  4 Sn 2.55-2.64, 3 Nb 2.58-2.61, 1 Sc 2.73
Ni 0.6136 0.0000 0.7416  4 Sn 2.55-2.66, 3 Nb 2.57-2.64, 1 Sc 2.78
Ni 0.1355 0.0000 0.7514  1 Nb 2.52, 4 Sn 2.58-2.69, 3 Sc 2.61-2.69
Ni 0.4971 0.5000 0.9923  2 Nb 2.58, 4 Sn 2.58-2.67, 2 Sc 2.68-2.69
Sc 0.3094 0.5000 0.1232  4 Ni 2.60-2.70
Sc 0.8139 0.5000 0.1240  4 Ni 2.59-2.71
Sc 0.0642 0.5000 0.6284  4 Ni 2.61-2.73
Sc 0.9416 0.0000 0.8781  4 Ni 2.61-2.78
Sn 0.5626 0.0000 0.1243  4 Ni 2.67-2.70
Sn 0.0633 0.0000 0.1277  4 Ni 2.63-2.69
Sn 0.4375 0.5000 0.3744  4 Ni 2.55
Sn 0.9389 0.5000 0.3787  4 Ni 2.57-2.64
Sn 0.3100 0.0000 0.6216  4 Ni 2.55-2.63
Sn 0.8137 0.0000 0.6257  4 Ni 2.62-2.69
Sn 0.6874 0.5000 0.8722  4 Ni 2.59-2.66
Sn 0.1871 0.5000 0.8759  4 Ni 2.58-2.63

Computed properties:
**Space-group type**: No. 6
**Volume**: 111.1 Å³/f.u.
**Magnetic moment**: 0.0 Bohr magnetons per cell
**Energy above the most stable polymorph in this dataset**: 0.011 eV/atom

---

The following is a DFT calculation (PBE) of an optimized crystal structure of TbAsOsO.

Lattice parameters (Å, degrees): 4.2275 4.2408 7.2659 90.00 90.00 90.00
Closest atoms and distances in Å follow each position.
Fractional positions:
As 0.0000 0.7524 0.2767  3 Os 2.42-2.46
As 0.0000 0.2476 0.7767  3 Os 2.42-2.46
O 0.5000 0.2818 0.4304  2 Os 2.12, 1 Tb 2.37
O 0.5000 0.7182 0.9304  2 Os 2.12, 1 Tb 2.37
Os 0.0000 0.2478 0.4438  2 O 2.12
Os 0.0000 0.7522 0.9438  2 O 2.12
Tb 0.5000 0.2433 0.1030  3 O 2.37-2.56
Tb 0.5000 0.7567 0.6030  3 O 2.37-2.56

Computed properties:
**Space-group type**: No. 26
**Volume**: 65.1 Å³/f.u.
**Magnetic moment**: 0.1 Bohr magnetons per cell
**Energy above the most stable polymorph in this dataset**: 0.591 eV/atom

---

The following is a DFT calculation (PBE) of an optimized crystal structure of ZnInAu2.

Lattice parameters (Å, degrees): 4.7331 4.7331 4.7331 60.00 60.00 60.00
Closest atoms and distances in Å follow each position.
Fractional positions:
Au 0.0000 0.0000 0.0000  4 Au 2.90, 4 Zn 2.90
Au 0.7500 0.7500 0.7500  4 In 2.90, 4 Au 2.90
In 0.5000 0.5000 0.5000  4 Au 2.90, 4 Zn 2.90
Zn 0.2500 0.2500 0.2500  4 In 2.90, 4 Au 2.90

Computed properties:
**Space-group type**: No. 216
**Volume**: 75.0 Å³/f.u.
**E**: -10.64 eV/cell

---

The following is a DFT calculation (PBE) of an optimized crystal structure of LaNdCBr.

Lattice parameters (Å, degrees): 3.8430 3.8430 15.1601 90.00 90.00 120.00
Closest atoms and distances in Å follow each position.
Fractional positions:
Br 0.0000 0.0000 0.0000  6 La 3.30
Br 0.3333 0.6667 0.5000  6 Nd 3.23
C 0.6667 0.3333 0.2560  3 Nd 2.60, 3 La 2.65
C 0.6667 0.3333 0.7440  3 Nd 2.60, 3 La 2.65
La 0.3333 0.6667 0.1610  3 C 2.65
La 0.3333 0.6667 0.8390  3 C 2.65
Nd 0.0000 0.0000 0.3451  3 C 2.60
Nd 0.0000 0.0000 0.6549  3 C 2.60

Computed properties:
**Space-group type**: No. 187
**Volume**: 96.9 Å³/f.u.
**Magnetic moment**: 0.0 Bohr magnetons per cell
**E**: -48.34 eV/cell

---

The following is a DFT calculation (PBE) of an optimized crystal structure of RePd6W.

Lattice parameters (Å, degrees): 5.5175 5.5175 4.5500 90.00 90.00 120.00
Closest atoms and distances in Å follow each position.
Fractional positions:
Pd 0.0072 0.5036 0.0000  8 Pd 2.70-2.82, 2 W 2.76, 2 Re 2.76
Pd 0.4964 0.5036 0.0000  8 Pd 2.70-2.82, 2 W 2.76, 2 Re 2.76
Pd 0.4964 0.9928 0.0000  8 Pd 2.70-2.82, 2 W 2.76, 2 Re 2.76
Pd 0.3239 0.1619 0.5000  8 Pd 2.68-2.84, 2 Re 2.75, 2 W 2.76
Pd 0.8381 0.1619 0.5000  8 Pd 2.68-2.84, 2 Re 2.75, 2 W 2.76
Pd 0.8381 0.6761 0.5000  8 Pd 2.68-2.84, 2 Re 2.75, 2 W 2.76
Re 0.0000 0.0000 0.0000  12 Pd 2.75-2.76
W 0.3333 0.6667 0.5000  12 Pd 2.76

Computed properties:
**Space-group type**: No. 187
**Volume**: 120.0 Å³/f.u.
**Magnetic moment**: 0.1 Bohr magnetons per cell
**ΔH_f (0 K)**: 89 kJ/mol of formula units

---

The following is a DFT calculation (PBE) of an optimized crystal structure of NaDyCoSe3.

Lattice parameters (Å, degrees): 7.0669 7.0669 10.7132 90.00 90.00 32.74
Closest atoms and distances in Å follow each position.
Fractional positions:
Co 0.4735 0.4735 0.2500  4 Se 2.39-2.46
Co 0.5265 0.5265 0.7500  4 Se 2.39-2.46
Dy 0.0000 0.0000 0.0000  6 Se 2.84-2.89
Dy 0.0000 0.0000 0.5000  6 Se 2.84-2.89
Na 0.7576 0.7576 0.2500  6 Se 3.09-3.13
Na 0.2424 0.2424 0.7500  6 Se 3.09-3.13
Se 0.3637 0.3637 0.0756  1 Co 2.39
Se 0.0799 0.0799 0.2500  2 Co 2.46
Se 0.3637 0.3637 0.4244  1 Co 2.39
Se 0.6363 0.6363 0.5756  1 Co 2.39
Se 0.9201 0.9201 0.7500  2 Co 2.46
Se 0.6363 0.6363 0.9244  1 Co 2.39

Computed properties:
**Space-group type**: No. 63
**Volume**: 144.7 Å³/f.u.
**Magnetic moment**: 5.8 Bohr magnetons per cell
**Energy above the most stable polymorph in this dataset**: 0.027 eV/atom

---

The following is a DFT calculation (PBE) of an optimized crystal structure of MgInGeIr.

Lattice parameters (Å, degrees): 4.6248 4.6248 4.6248 60.00 60.00 60.00
Closest atoms and distances in Å follow each position.
Fractional positions:
Ge 0.5000 0.5000 0.5000  4 Ir 2.83, 4 Mg 2.83
In 0.0000 0.0000 0.0000  4 Mg 2.83, 4 Ir 2.83
Ir 0.2500 0.2500 0.2500  4 Ge 2.83, 4 In 2.83
Mg 0.7500 0.7500 0.7500  4 In 2.83, 4 Ge 2.83

Computed properties:
**Space-group type**: No. 216
**Volume**: 69.9 Å³/f.u.
**Magnetic moment**: 0.0 Bohr magnetons per cell
**Energy above the most stable polymorph in this dataset**: 0.000 eV/atom

---

Which value of volume does entry 8 give? 69.9 Å³/f.u.

---

Please write out number 5 again, unchanged.
The following is a DFT calculation (PBE) of an optimized crystal structure of LaNdCBr.

Lattice parameters (Å, degrees): 3.8430 3.8430 15.1601 90.00 90.00 120.00
Closest atoms and distances in Å follow each position.
Fractional positions:
Br 0.0000 0.0000 0.0000  6 La 3.30
Br 0.3333 0.6667 0.5000  6 Nd 3.23
C 0.6667 0.3333 0.2560  3 Nd 2.60, 3 La 2.65
C 0.6667 0.3333 0.7440  3 Nd 2.60, 3 La 2.65
La 0.3333 0.6667 0.1610  3 C 2.65
La 0.3333 0.6667 0.8390  3 C 2.65
Nd 0.0000 0.0000 0.3451  3 C 2.60
Nd 0.0000 0.0000 0.6549  3 C 2.60

Computed properties:
**Space-group type**: No. 187
**Volume**: 96.9 Å³/f.u.
**Magnetic moment**: 0.0 Bohr magnetons per cell
**E**: -48.34 eV/cell

---

Look up the volume of the seventh one. 144.7 Å³/f.u.